! BaLaFe | the Alexandria database | GGA-PBEsol | optimized geometry; values from VASP
! VASP energy   -5.056 eV/atom
! Energy of formation   0.43 eV/atom
! Size of the total moment   1.5 μB per formula unit
! Crystal system   tetragonal
&SYSTEM
  ibrav = 0, nat = 3, ntyp = 3
/
ATOMIC_SPECIES
La 138.91 La.upf
Fe 55.84 Fe.upf
Ba 137.33 Ba.upf
CELL_PARAMETERS angstrom
3.610 0.000 0.000
0.000 3.610 0.000
-1.805 -1.805 6.933
ATOMIC_POSITIONS crystal
La 0.717 0.717 0.435
Fe 0.314 0.314 0.628
Ba 0.969 0.969 0.937

***

! MgZrTl2 | the Alexandria database | GGA-PBEsol | optimized geometry; values from VASP
! VASP energy   -4.080 eV/atom
! Energy of formation   -0.06 eV/atom
! Size of the total moment   0.0 μB per formula unit
! Crystal system   tetragonal
&SYSTEM
  ibrav = 0, nat = 4, ntyp = 3
/
ATOMIC_SPECIES
Zr 91.22 Zr.upf
Tl 204.38 Tl.upf
Mg 24.30 Mg.upf
CELL_PARAMETERS angstrom
4.210 0.000 0.000
0.000 4.210 0.000
-2.105 -2.105 5.099
ATOMIC_POSITIONS crystal
Zr 0.500 0.500 0.000
Tl 0.750 0.250 0.500
Tl 0.000 0.000 0.000
Mg 0.250 0.750 0.500

***

! Ca9Zn4Sb9 | the Alexandria database | GGA-PBEsol | optimized geometry; values from VASP
! VASP energy   -3.852 eV/atom
! Size of the total moment   0.0 μB per formula unit
! Crystal system   orthorhombic
&SYSTEM
  ibrav = 0, nat = 44, ntyp = 3
/
ATOMIC_SPECIES
Zn 65.41 Zn.upf
Ca 40.08 Ca.upf
Sb 121.76 Sb.upf
CELL_PARAMETERS angstrom
-3.355 0.816 -2.879
-6.976 -8.276 5.783
-7.444 15.386 13.038
ATOMIC_POSITIONS crystal
Zn 0.500 0.226 0.545
Zn 0.500 0.112 0.236
Zn 0.500 0.274 0.045
Zn 0.500 0.774 0.455
Zn 0.500 0.726 0.955
Zn 0.500 0.612 0.264
Zn 0.500 0.388 0.736
Zn 0.500 0.888 0.764
Ca 0.000 0.130 0.136
Ca 0.000 0.373 0.264
Ca 0.000 0.870 0.864
Ca 0.000 0.370 0.636
Ca 0.000 0.127 0.764
Ca 0.500 0.794 0.603
Ca 0.500 0.294 0.897
Ca 0.000 0.569 0.910
Ca 0.500 0.500 0.500
Ca 0.000 0.431 0.090
Ca 0.500 0.000 0.000
Ca 0.000 0.069 0.590
Ca 0.000 0.627 0.736
Ca 0.000 0.931 0.410
Ca 0.500 0.206 0.397
Ca 0.500 0.706 0.103
Ca 0.000 0.873 0.236
Ca 0.000 0.630 0.364
Sb 0.500 0.694 0.832
Sb 0.500 0.545 0.646
Sb 0.500 0.455 0.354
Sb 0.000 0.694 0.508
Sb 0.000 0.886 0.696
Sb 0.500 0.045 0.854
Sb 0.500 0.955 0.146
Sb 0.500 0.194 0.668
Sb 0.000 0.114 0.304
Sb 0.000 0.306 0.492
Sb 0.500 0.500 0.000
Sb 0.500 0.306 0.168
Sb 0.000 0.194 0.992
Sb 0.000 0.806 0.008
Sb 0.000 0.614 0.196
Sb 0.500 0.000 0.500
Sb 0.500 0.806 0.332
Sb 0.000 0.386 0.804

***

! CaTiBi3 | the Alexandria database | GGA-PBEsol | optimized geometry; values from VASP
! VASP energy   -4.797 eV/atom
! Energy of formation   -0.13 eV/atom
! Size of the total moment   0.0 μB per formula unit
! Crystal system   cubic
&SYSTEM
  ibrav = 0, nat = 5, ntyp = 3
/
ATOMIC_SPECIES
Bi 208.98 Bi.upf
Ca 40.08 Ca.upf
Ti 47.87 Ti.upf
CELL_PARAMETERS angstrom
5.387 0.000 0.000
0.000 5.387 0.000
0.000 0.000 5.387
ATOMIC_POSITIONS crystal
Bi 0.000 0.000 0.500
Bi 0.000 0.500 0.000
Bi 0.500 0.000 0.000
Ca 0.500 0.500 0.500
Ti 0.000 0.000 0.000

***

! TlCr2Cu | the Alexandria database | GGA-PBEsol | optimized geometry; values from VASP
! VASP energy   -6.206 eV/atom
! Energy of formation   0.66 eV/atom
! Size of the total moment   0.0 μB per formula unit
! Crystal system   orthorhombic
&SYSTEM
  ibrav = 0, nat = 4, ntyp = 3
/
ATOMIC_SPECIES
Cr 52.00 Cr.upf
Cu 63.55 Cu.upf
Tl 204.38 Tl.upf
CELL_PARAMETERS angstrom
-3.321 0.017 -0.686
-0.687 -1.834 3.279
1.611 4.630 0.703
ATOMIC_POSITIONS crystal
Cr 0.247 0.247 0.493
Cr 0.753 0.753 0.507
Cu 0.500 0.000 0.000
Tl 0.000 0.500 0.000

***

! AlIO2 | the Alexandria database | GGA-PBEsol | optimized geometry; values from VASP
! VASP energy   -3.841 eV/atom
! Size of the total moment   0.0 μB per formula unit
! Crystal system   cubic
&SYSTEM
  ibrav = 0, nat = 4, ntyp = 3
/
ATOMIC_SPECIES
Al 26.98 Al.upf
O 16.00 O.upf
I 126.90 I.upf
CELL_PARAMETERS angstrom
4.199 0.000 0.000
2.099 3.636 0.000
2.099 1.212 3.428
ATOMIC_POSITIONS crystal
Al 0.000 0.000 0.000
O 0.250 0.250 0.250
O 0.750 0.750 0.750
I 0.500 0.500 0.500

***

! MnCuP2 | the Alexandria database | GGA-PBEsol | optimized geometry; values from VASP
! VASP energy   -6.589 eV/atom
! Energy of formation   -0.17 eV/atom
! Size of the total moment   0.0 μB per formula unit
! Crystal system   trigonal
&SYSTEM
  ibrav = 0, nat = 4, ntyp = 3
/
ATOMIC_SPECIES
P 30.97 P.upf
Mn 54.94 Mn.upf
Cu 63.55 Cu.upf
CELL_PARAMETERS angstrom
2.781 0.000 0.000
1.391 2.408 0.000
1.391 0.803 7.053
ATOMIC_POSITIONS crystal
P 0.257 0.257 0.230
P 0.743 0.743 0.770
Mn 0.000 0.000 0.000
Cu 0.500 0.500 0.500

***

! Li2TiNi2O5 | the Alexandria database | GGA-PBEsol | optimized geometry; values from VASP
! VASP energy   -6.864 eV/atom
! Size of the total moment   4.0 μB per formula unit
! Crystal system   monoclinic
&SYSTEM
  ibrav = 0, nat = 20, ntyp = 4
/
ATOMIC_SPECIES
Li 6.94 Li.upf
Ni 58.69 Ni.upf
Ti 47.87 Ti.upf
O 16.00 O.upf
CELL_PARAMETERS angstrom
-0.151 1.617 -4.626
3.904 -1.884 -2.504
-4.103 -5.009 -4.216
ATOMIC_POSITIONS crystal
Li 0.553 0.250 0.894
Li 0.251 0.750 0.499
Li 0.749 0.250 0.501
Li 0.447 0.750 0.106
Ni 0.050 0.750 0.900
Ni 0.151 0.250 0.697
Ni 0.849 0.750 0.303
Ni 0.950 0.250 0.100
Ti 0.648 0.750 0.705
Ti 0.352 0.250 0.295
O 0.804 0.503 0.890
O 0.405 0.513 0.703
O 0.892 0.987 0.703
O 0.108 0.013 0.297
O 0.196 0.497 0.110
O 0.595 0.487 0.297
O 0.000 0.500 0.500
O 0.500 0.000 0.500
O 0.694 0.003 0.110
O 0.306 0.997 0.890

***

! TlSi2Se | the Alexandria database | GGA-PBEsol | optimized geometry; values from VASP
! VASP energy   -3.964 eV/atom
! Size of the total moment   0.0 μB per formula unit
! Crystal system   tetragonal
&SYSTEM
  ibrav = 0, nat = 4, ntyp = 3
/
ATOMIC_SPECIES
Tl 204.38 Tl.upf
Si 28.09 Si.upf
Se 78.96 Se.upf
CELL_PARAMETERS angstrom
-0.352 -1.947 -3.604
-2.952 -2.387 1.578
-3.348 3.211 -1.407
ATOMIC_POSITIONS crystal
Tl 0.500 0.500 0.500
Si 0.500 0.000 0.000
Si 0.000 0.500 0.000
Se 0.000 0.000 0.500

***

! KCaY | the Alexandria database | GGA-PBEsol | optimized geometry; values from VASP
! VASP energy   -3.078 eV/atom
! Energy of formation   0.28 eV/atom
! Size of the total moment   1.0 μB per formula unit
! Crystal system   trigonal
&SYSTEM
  ibrav = 0, nat = 3, ntyp = 3
/
ATOMIC_SPECIES
K 39.10 K.upf
Y 88.91 Y.upf
Ca 40.08 Ca.upf
CELL_PARAMETERS angstrom
-1.969 -2.309 -2.207
3.253 -1.142 1.483
-4.939 -3.538 8.108
ATOMIC_POSITIONS crystal
K 0.333 0.667 0.660
Y 0.667 0.333 0.313
Ca 0.000 0.000 0.027

***

! CaY3 | the Alexandria database | GGA-PBEsol | optimized geometry; values from VASP
! VASP energy   -5.556 eV/atom
! Energy of formation   0.09 eV/atom
! Size of the total moment   0.0 μB per formula unit
! Crystal system   monoclinic
&SYSTEM
  ibrav = 0, nat = 4, ntyp = 2
/
ATOMIC_SPECIES
Ca 40.08 Ca.upf
Y 88.91 Y.upf
CELL_PARAMETERS angstrom
-0.601 -1.775 -3.018
1.984 -4.142 4.132
-6.096 -0.106 1.276
ATOMIC_POSITIONS crystal
Ca 0.000 0.000 0.000
Y 0.500 0.000 0.500
Y 0.244 0.488 0.736
Y 0.756 0.512 0.264

***

! BaLi2CuBr | the Alexandria database | GGA-PBEsol | optimized geometry; values from VASP
! VASP energy   -1.873 eV/atom
! Size of the total moment   0.0 μB per formula unit
! Crystal system   tetragonal
&SYSTEM
  ibrav = 0, nat = 5, ntyp = 4
/
ATOMIC_SPECIES
Br 79.90 Br.upf
Li 6.94 Li.upf
Cu 63.55 Cu.upf
Ba 137.33 Ba.upf
CELL_PARAMETERS angstrom
5.859 0.000 0.000
0.000 6.713 0.000
0.000 0.000 6.713
ATOMIC_POSITIONS crystal
Br 0.500 0.000 0.000
Li 0.000 0.000 0.500
Li 0.000 0.500 0.000
Cu 0.500 0.500 0.500
Ba 0.000 0.000 0.000